{
  "formula": "Sr2CoTeO6",
  "functional": "GGA+U",
  "state": "optimized geometry",
  "relative_energy_ev_per_atom": 0.000,
  "sg": "P2_1/c (14)",
  "lattice": [[5.7042, 0.0000, 0.0000], [0.0000, 5.6937, 0.0000], [-5.6911, 0.0000, 8.0301]],
  "species": ["Sr", "Sr", "Sr", "Sr", "Co", "Co", "Te", "Te", "O", "O", "O", "O", "O", "O", "O", "O", "O", "O", "O", "O"],
  "frac_coords": [[0.2459, 0.0209, 0.2499], [0.2459, 0.4791, 0.7499], [0.7541, 0.5209, 0.2501], [0.7541, 0.9791, 0.7501], [0.5000, 0.0000, 0.0000], [0.5000, 0.5000, 0.5000], [0.0000, 0.0000, 0.5000], [0.0000, 0.5000, 0.0000], [0.1784, 0.2330, 0.9671], [0.1784, 0.2670, 0.4671], [0.2353, 0.7133, 0.9694], [0.2353, 0.7867, 0.4694], [0.3004, 0.0109, 0.7398], [0.3004, 0.4891, 0.2398], [0.6996, 0.5109, 0.7602], [0.6996, 0.9891, 0.2602], [0.7647, 0.2133, 0.5306], [0.7647, 0.2867, 0.0306], [0.8216, 0.7330, 0.5329], [0.8216, 0.7670, 0.0329]]
}

{
  "formula": "SrCoTe2O8",
  "functional": "GGA+U",
  "state": "optimized geometry",
  "total_energy_ev_per_cell": -67.48,
  "sg": "P2/m (10)",
  "lattice": [[5.0495, 0.0000, 0.0000], [0.0000, 6.3829, 0.0000], [-0.4531, 0.0000, 5.0335]],
  "species": ["Sr", "Co", "Te", "Te", "O", "O", "O", "O", "O", "O", "O", "O"],
  "frac_coords": [[0.0000, 0.0000, 0.0000], [0.0000, 0.5000, 0.0000], [0.5000, 0.2586, 0.5000], [0.5000, 0.7414, 0.5000], [0.2253, 0.2745, 0.2234], [0.2253, 0.7255, 0.2234], [0.3162, 0.5000, 0.6821], [0.3329, 0.0000, 0.6655], [0.6671, 0.0000, 0.3345], [0.6838, 0.5000, 0.3179], [0.7747, 0.2745, 0.7766], [0.7747, 0.7255, 0.7766]]
}

| no. | size of the total moment (μB per formula unit) |
| --- | --- |
| 1 | 3.0 |
| 2 | 3.0 |